RbBaGa4 | PBE | relaxed

a = 8.5753 Å, b = 8.5753 Å, c = 8.5753 Å
α = 90.00°, β = 90.00°, γ = 90.00°
Closest atoms and distances in Å follow each position.
Space group F-43m (No. 216)
Inequivalent atoms, fractional coordinates:
Rb: 0.0000 0.0000 0.0000  12 Ga 3.56, 4 Ba 3.71
Ba: 0.2500 0.2500 0.7500  12 Ga 3.55, 4 Rb 3.71
Ga: 0.1247 0.1247 0.3753  6 Ga 3.02-3.04

ΔH_f (0 K)	-0.1724	eV per atom
final energy	-0.196	Ry/atom
mass density	5.28	g/cm3

***

SmScCo4 | PBE | relaxed

a = 7.0934 Å, b = 7.0934 Å, c = 7.0934 Å
α = 90.00°, β = 90.00°, γ = 90.00°
Closest atoms and distances in Å follow each position.
Space group F-43m (No. 216)
Inequivalent atoms, fractional coordinates:
Sm: 0.0000 0.0000 0.0000  12 Co 2.94, 4 Sc 3.07
Sc: 0.2500 0.2500 0.2500  12 Co 2.94, 4 Sm 3.07
Co: 0.1242 0.1242 0.6242  6 Co 2.49-2.52

ΔH_f (0 K)	-0.1983	eV per atom
final energy	-0.498	Ry/atom
mass density	8.02	g/cm3

***

Mg2CoHgH | PBE | relaxed

a = 4.6199 Å, b = 4.6199 Å, c = 3.2975 Å
α = 90.00°, β = 90.00°, γ = 90.00°
Closest atoms and distances in Å follow each position.
Space group P4/mmm (No. 123)
Inequivalent atoms, fractional coordinates:
Mg: 0.0000 0.5000 0.0000  2 H 2.31
Co: 0.0000 0.0000 0.5000  2 H 1.65
Hg: 0.5000 0.5000 0.5000  8 Mg 2.84
H: 0.0000 0.0000 0.0000  2 Co 1.65

energy relative to the lowest polymorph listed for this composition	0	meV per atom
final energy	-0.210	Ry/atom
mass density	7.29	g/cm3

***

Be2InSe | PBE | relaxed

a = 3.1577 Å, b = 3.1577 Å, c = 6.6776 Å
α = 90.00°, β = 90.00°, γ = 90.00°
Closest atoms and distances in Å follow each position.
Space group P4/mmm (No. 123)
Inequivalent atoms, fractional coordinates:
Be: 0.0000 0.0000 0.1719  1 Be 2.30, 4 Se 2.51
In: 0.5000 0.5000 0.5000  8 Be 3.13, 4 In 3.16, 2 Se 3.34
Se: 0.5000 0.5000 0.0000  8 Be 2.51

energy relative to the lowest polymorph listed for this composition	319	meV per atom
uncorrected formation energy	0.47	eV/atom
final energy	-0.217	Ry/atom
mass density	5.28	g/cm3

***

KIn8Sn2 | PBE | relaxed

a = 6.1924 Å, b = 6.1924 Å, c = 10.6355 Å
α = 90.00°, β = 90.00°, γ = 90.00°
Closest atoms and distances in Å follow each position.
Space group P4/mmm (No. 123)
Inequivalent atoms, fractional coordinates:
K: 0.0000 0.0000 0.0000  8 In 3.76
In: 0.2517 0.2517 0.2868  4 In 3.07-3.12, 2 Sn 3.15
Sn: 0.0000 0.5000 0.5000  8 In 3.15

ΔH_f (0 K)	0.1041	eV per atom
final energy	-0.200	Ry/atom
mass density	4.87	g/cm3

***

Eu2ZnP3Pt7 | PBE | relaxed

a = 4.0946 Å, b = 4.0946 Å, c = 27.0029 Å
α = 90.00°, β = 90.00°, γ = 90.00°
Closest atoms and distances in Å follow each position.
Space group I-4m2 (No. 119)
Inequivalent atoms, fractional coordinates:
Eu: 0.0000 0.0000 0.1649  6 P 3.08-3.13, 9 Pt 3.12-3.44
Zn: 0.0000 0.0000 0.0000  12 Pt 2.82-2.90
P: 0.0000 0.0000 0.3796  5 Pt 2.35-2.43
P: 0.0000 0.5000 0.2500  4 Pt 2.35
Pt: 0.0000 0.0000 0.2924  3 P 2.35
Pt: 0.0000 0.0000 0.5000  8 Pt 2.82-2.84, 4 Zn 2.90
Pt: 0.0000 0.5000 0.0717  2 P 2.43
Pt: 0.0000 0.5000 0.5730  2 P 2.41

ΔH_f (0 K)	-0.8663	eV per atom
final energy	-0.518	Ry/atom
mass density	13.41	g/cm3

***

Th2AlCu4Ge3 | PBE | relaxed

a = 4.1791 Å, b = 4.1791 Å, c = 10.2077 Å
α = 90.00°, β = 90.00°, γ = 90.00°
Closest atoms and distances in Å follow each position.
Space group P-4m2 (No. 115)
Inequivalent atoms, fractional coordinates:
Th: 0.0000 0.5000 0.2434  6 Ge 3.17-3.35, 8 Cu 3.21-3.25, 2 Al 3.35
Al: 0.0000 0.0000 0.5000  4 Cu 2.49
Cu: 0.0000 0.0000 0.0000  4 Ge 2.48
Cu: 0.0000 0.5000 0.6333  3 Ge 2.41-2.49, 2 Al 2.49
Cu: 0.5000 0.5000 0.0000  4 Ge 2.48
Ge: 0.0000 0.5000 0.8693  5 Cu 2.41-2.48
Ge: 0.5000 0.5000 0.5000  4 Cu 2.49

ΔH_f (0 K)	-0.5097	eV per atom
final energy	-0.396	Ry/atom
mass density	8.97	g/cm3

***

Mg6AgPd3 | PBE | relaxed

a = 8.0061 Å, b = 4.6311 Å, c = 9.8113 Å
α = 90.00°, β = 104.92°, γ = 90.00°
Closest atoms and distances in Å follow each position.
Space group P2_1/m (No. 11)
Inequivalent atoms, fractional coordinates:
Mg: 0.0336 0.2500 0.4067  7 Pd 2.76-2.92, 4 Mg 2.93-3.08
Mg: 0.1296 0.7500 0.1893  5 Pd 2.70-2.81, 1 Ag 2.89, 3 Mg 2.92-2.99
Mg: 0.2361 0.2500 0.9854  4 Pd 2.73-2.81, 3 Ag 2.88-2.92, 2 Mg 2.99
Mg: 0.3267 0.7500 0.7912  4 Pd 2.73-2.92, 3 Ag 2.94-2.96, 2 Mg 3.00-3.03
Mg: 0.3438 0.2500 0.3004  8 Mg 2.85-3.00, 3 Pd 3.11-3.17
Mg: 0.4290 0.2500 0.6008  4 Pd 2.69-2.81, 1 Ag 2.84, 3 Mg 2.85-2.95
Ag: 0.4467 0.7500 0.1010  8 Mg 2.84-2.96
Pd: 0.0404 0.7500 0.8938  8 Mg 2.70-2.85
Pd: 0.1440 0.2500 0.6973  8 Mg 2.69-2.77
Pd: 0.2611 0.7500 0.4844  8 Mg 2.77-2.92

energy relative to the lowest polymorph listed for this composition	0	meV per atom
ΔH_f (0 K)	-0.4983	eV per atom
final energy	-0.242	Ry/atom
mass density	5.41	g/cm3

***

GdHoW4 | PBE | relaxed

a = 7.8491 Å, b = 7.8491 Å, c = 7.8491 Å
α = 90.00°, β = 90.00°, γ = 90.00°
Closest atoms and distances in Å follow each position.
Space group F-43m (No. 216)
Inequivalent atoms, fractional coordinates:
Gd: 0.0000 0.0000 0.0000  12 W 3.25, 4 Ho 3.40
Ho: 0.2500 0.2500 0.2500  12 W 3.25, 4 Gd 3.40
W: 0.1251 0.1251 0.6251  6 W 2.77-2.78

ΔH_f (0 K)	0.1757	eV per atom
final energy	-0.850	Ry/atom
mass density	14.53	g/cm3

***

Ti6VSb2 | PBE | relaxed

a = 3.5029 Å, b = 12.7040 Å, c = 7.3125 Å
α = 90.00°, β = 90.00°, γ = 90.00°
Closest atoms and distances in Å follow each position.
Space group Amm2 (No. 38)
Inequivalent atoms, fractional coordinates:
Ti: 0.0000 0.0000 0.0000  2 V 2.49
Ti: 0.0000 0.1214 0.6392  2 V 2.49
Ti: 0.5000 0.0000 0.3735  1 V 2.81, 4 Sb 2.87, 4 Ti 3.04
Ti: 0.5000 0.1936 0.9521  1 V 2.84, 4 Sb 2.87, 4 Ti 3.02-3.04
V: 0.5000 0.0000 0.7576  6 Ti 2.49
Sb: 0.0000 0.1663 0.2591  9 Ti 2.84-2.87

uncorrected formation energy	-0.29	eV/atom
final energy	-0.550	Ry/atom
mass density	5.94	g/cm3

***

ReRu2Rh2 | PBE | relaxed

a = 4.7136 Å, b = 4.7248 Å, c = 7.1578 Å
α = 102.89°, β = 109.01°, γ = 99.48°
Closest atoms and distances in Å follow each position.
Space group P-1 (No. 2)
Inequivalent atoms, fractional coordinates:
Re: 0.1017 0.0467 0.3489  6 Rh 2.69-2.75, 5 Ru 2.69-2.72, 1 Re 2.73
Ru: 0.3028 0.1479 0.0521  5 Ru 2.68-2.74, 2 Re 2.69-2.72, 5 Rh 2.70-2.76
Ru: 0.4995 0.2460 0.7519  3 Ru 2.68-2.74, 6 Rh 2.69-2.77, 3 Re 2.69-2.72
Rh: 0.0977 0.5497 0.8483  3 Rh 2.69-2.73, 2 Re 2.70-2.73, 7 Ru 2.71-2.76
Rh: 0.3030 0.6546 0.5481  4 Rh 2.69-2.77, 4 Ru 2.69-2.77, 4 Re 2.69-2.75

energy relative to the lowest polymorph listed for this composition	0	meV per atom
ΔH_f (0 K)	-0.0044	eV per atom
final energy	-0.672	Ry/atom
mass density	13.90	g/cm3

***

CaCe3Ir2 | PBE | relaxed

a = 16.8076 Å, b = 4.8509 Å, c = 7.4808 Å
α = 90.00°, β = 103.51°, γ = 90.00°
Closest atoms and distances in Å follow each position.
Space group C2/m (No. 12)
Inequivalent atoms, fractional coordinates:
Ca: 0.1886 0.0000 0.4948  3 Ir 3.02-3.16, 2 Ca 3.17
Ce: 0.0240 0.0000 0.7102  3 Ir 2.85-3.03, 3 Ce 3.06-3.07
Ce: 0.0671 0.5000 0.1834  3 Ir 2.66-2.92
Ce: 0.1883 0.5000 0.8815  2 Ir 2.66-2.90
Ir: 0.0891 0.5000 0.5479  2 Ce 2.66, 1 Ir 2.91
Ir: 0.1353 0.0000 0.0614  6 Ce 2.85-3.01, 1 Ca 3.16

ΔH_f (0 K)	-0.4874	eV per atom
final energy	-0.495	Ry/atom
mass density	9.46	g/cm3